A relaxed CsPaAg crystal, computed with PBE.

It has space group F-43m (No. 216), with a = 7.147 Å, b = 7.147 Å, c = 7.147 Å, α = 90.00°, β = 90.00° and γ = 90.00°. The asymmetric unit holds Cs at (0.000, 0.000, 0.000), Pa at (0.250, 0.250, 0.250) and Ag at (0.250, 0.250, 0.750).

For the raw total energy, the calculation gives -2.697 eV per atom. The energy above the most stable polymorph in this dataset is 286.0 meV per atom.

A relaxed Sm2Zn crystal, computed with PBE.

It has space group Fd-3m (No. 227, origin choice 2), with a = 12.506 Å, b = 12.506 Å, c = 12.506 Å, α = 90.00°, β = 90.00° and γ = 90.00°. The asymmetric unit holds Sm at (0.000, 0.000, 0.000) and Zn at (0.125, 0.125, 0.125).

The formation enthalpy at 0 K comes out at 1417 meV/atom. For the raw total energy, the calculation gives -2.145 eV per atom.

A relaxed LiYSiPt crystal, computed with PBE.

It has space group F-43m (No. 216), with a = 6.413 Å, b = 6.413 Å, c = 6.413 Å, α = 90.00°, β = 90.00° and γ = 90.00°. The asymmetric unit holds Li at (0.000, 0.000, 0.000), Y at (0.250, 0.250, 0.750), Si at (0.000, 0.000, 0.500) and Pt at (0.250, 0.250, 0.250).

For the raw total energy, the calculation gives -5.676 eV per atom. The energy above the most stable polymorph in this dataset is 95.0 meV per atom.

A relaxed HfFeCoPb crystal, computed with PBE.

It has space group F-43m (No. 216), with a = 6.307 Å, b = 6.307 Å, c = 6.307 Å, α = 90.00°, β = 90.00° and γ = 90.00°. The asymmetric unit holds Hf at (0.000, 0.000, 0.000), Fe at (0.250, 0.250, 0.250), Co at (0.250, 0.250, 0.750) and Pb at (0.000, 0.000, 0.500).

For the raw total energy, the calculation gives -7.239 eV per atom. The energy above the most stable polymorph in this dataset is 0.0 meV per atom.

A relaxed TbHgSO crystal, computed with PBE.

It has space group P2_1/c (No. 14), with a = 6.977 Å, b = 7.289 Å, c = 6.639 Å, α = 90.00°, β = 92.98° and γ = 90.00°. The asymmetric unit holds Tb at (0.023, 0.138, 0.292), Hg at (0.483, 0.685, 0.994), S at (0.253, 0.070, 0.948) and O at (0.101, 0.645, 0.910).

For the raw total energy, the calculation gives -5.234 eV per atom. The energy above the most stable polymorph in this dataset is 112.3 meV per atom.

A relaxed LaDyCuSi3 crystal, computed with PBE.

It has space group Fmmm (No. 69), with a = 8.094 Å, b = 8.477 Å, c = 13.965 Å, α = 90.00°, β = 90.00° and γ = 90.00°. The asymmetric unit holds La at (0.000, 0.244, 0.000), Dy at (0.250, 0.250, 0.250), Cu at (0.000, 0.000, 0.332), Si at (0.000, 0.000, 0.171) and Si at (0.246, 0.000, 0.414).

For the raw total energy, the calculation gives -5.657 eV per atom. The energy above the most stable polymorph in this dataset is 0.0 meV per atom.

A relaxed Ir3Pd3W2 crystal, computed with PBE.

It has space group P-6m2 (No. 187), with a = 5.5429 Å, b = 5.5429 Å, c = 4.4784 Å, α = 90.00°, β = 90.00° and γ = 120.00°. The asymmetric unit holds Ir at (0.0031, 0.5015, 0.0000), Pd at (0.3303, 0.1651, 0.5000), W at (0.0000, 0.0000, 0.0000) and W at (0.3333, 0.6667, 0.5000).

The formation enthalpy at 0 K comes out at -148 meV/atom. For the raw total energy, the calculation gives -8.649 eV per atom. The energy above the most stable polymorph in this dataset is 0.0 meV per atom.

A relaxed LiCuSiNi crystal, computed with PBE.

It has space group F-43m (No. 216), with a = 5.620 Å, b = 5.620 Å, c = 5.620 Å, α = 90.00°, β = 90.00° and γ = 90.00°. The asymmetric unit holds Li at (0.000, 0.000, 0.000), Cu at (0.250, 0.250, 0.750), Si at (0.000, 0.000, 0.500) and Ni at (0.250, 0.250, 0.250).

For the raw total energy, the calculation gives -4.506 eV per atom. The energy above the most stable polymorph in this dataset is 0.0 meV per atom.